1.
# MgPPb2 SCAN single point on PBEsol structure
# **Final energy**: -166.00 eV/f.u.
# **Energy of formation from the pure elements**: 22.57 kJ/mol of atoms
# **Magnetic moment**: 0.000 μB per formula unit
data_MgPPb2
_chemical_formula_sum 'Mg4 P4 Pb8'
_cell_length_a 7.273
_cell_length_b 7.273
_cell_length_c 7.273
_cell_angle_alpha 90.00
_cell_angle_beta 90.00
_cell_angle_gamma 90.00
_space_group_name_H-M_alt 'F -4 3 m'
_space_group_IT_number 216
_space_group_name_Hall 'F -4 2 3'
loop_
_atom_site_label
_atom_site_type_symbol
_atom_site_fract_x
_atom_site_fract_y
_atom_site_fract_z
_atom_site_occupancy
Mg1 Mg 0.000 0.000 0.000 1
P1 P 0.250 0.250 0.750 1
Pb1 Pb 0.000 0.000 0.500 1
Pb2 Pb 0.250 0.250 0.250 1



2.
# MgPPb SCAN single point on PBEsol structure
# **Final energy**: -90.97 eV/f.u.
# **Energy of formation from the pure elements**: 6.00 kJ/mol of atoms
# **Magnetic moment**: 0.000 μB per formula unit
data_MgPPb
_chemical_formula_sum 'Mg4 P4 Pb4'
_cell_length_a 6.708
_cell_length_b 6.708
_cell_length_c 6.708
_cell_angle_alpha 90.00
_cell_angle_beta 90.00
_cell_angle_gamma 90.00
_space_group_name_H-M_alt 'F -4 3 m'
_space_group_IT_number 216
_space_group_name_Hall 'F -4 2 3'
loop_
_atom_site_label
_atom_site_type_symbol
_atom_site_fract_x
_atom_site_fract_y
_atom_site_fract_z
_atom_site_occupancy
Mg1 Mg 0.000 0.000 0.000 1
P1 P 0.250 0.250 0.750 1
Pb1 Pb 0.000 0.000 0.500 1



3.
# MgPPb2 SCAN single point on PBEsol structure
# **Final energy**: -166.31 eV/f.u.
# **Energy of formation from the pure elements**: 14.96 kJ/mol of atoms
# **Magnetic moment**: 0.000 μB per formula unit
data_MgPPb2
_chemical_formula_sum 'Mg2 P2 Pb4'
_cell_length_a 6.371
_cell_length_b 7.669
_cell_length_c 3.902
_cell_angle_alpha 90.00
_cell_angle_beta 90.00
_cell_angle_gamma 90.00
_space_group_name_H-M_alt 'C m m m'
_space_group_IT_number 65
_space_group_name_Hall '-C 2 2'
loop_
_atom_site_label
_atom_site_type_symbol
_atom_site_fract_x
_atom_site_fract_y
_atom_site_fract_z
_atom_site_occupancy
Mg1 Mg 0.000 0.000 0.000 1
P1 P 0.000 0.500 0.000 1
Pb1 Pb 0.250 0.250 0.500 1



4.
# MgPPd5 SCAN single point on PBEsol structure
# **Final energy**: -183.69 eV/f.u.
# **Energy of formation from the pure elements**: -61.30 kJ/mol of atoms
# **Magnetic moment**: 0.000 μB per formula unit
data_MgPPd5
_chemical_formula_sum 'Mg1 P1 Pd5'
_cell_length_a 3.884
_cell_length_b 3.884
_cell_length_c 6.861
_cell_angle_alpha 90.00
_cell_angle_beta 90.00
_cell_angle_gamma 90.00
_space_group_name_H-M_alt 'P 4/m m m'
_space_group_IT_number 123
_space_group_name_Hall '-P 4 2'
loop_
_atom_site_label
_atom_site_type_symbol
_atom_site_fract_x
_atom_site_fract_y
_atom_site_fract_z
_atom_site_occupancy
Mg1 Mg 0.000 0.000 0.000 1
P1 P 0.500 0.500 0.500 1
Pd1 Pd 0.000 0.500 0.296 1
Pd2 Pd 0.500 0.500 0.000 1



5.
# MgPPd3 SCAN single point on PBEsol structure
# **Final energy**: -109.70 eV/f.u.
# **Energy of formation from the pure elements**: 77.05 kJ/mol of atoms
# **Magnetic moment**: 0.000 μB per formula unit
data_MgPPd3
_chemical_formula_sum 'Mg1 P1 Pd3'
_cell_length_a 4.506
_cell_length_b 4.506
_cell_length_c 4.506
_cell_angle_alpha 90.00
_cell_angle_beta 90.00
_cell_angle_gamma 90.00
_space_group_name_H-M_alt 'P m -3 m'
_space_group_IT_number 221
_space_group_name_Hall '-P 4 2 3'
loop_
_atom_site_label
_atom_site_type_symbol
_atom_site_fract_x
_atom_site_fract_y
_atom_site_fract_z
_atom_site_occupancy
Mg1 Mg 0.000 0.000 0.000 1
P1 P 0.500 0.500 0.500 1
Pd1 Pd 0.000 0.000 0.500 1



6.
# Mg2PPt SCAN single point on PBEsol structure
# **Final energy**: -93.65 eV/f.u.
# **Energy of formation from the pure elements**: -75.10 kJ/mol of atoms
# **Magnetic moment**: 0.000 μB per formula unit
data_Mg2PPt
_chemical_formula_sum 'Mg4 P2 Pt2'
_cell_length_a 3.667
_cell_length_b 3.908
_cell_length_c 9.721
_cell_angle_alpha 90.00
_cell_angle_beta 90.00
_cell_angle_gamma 90.00
_space_group_name_H-M_alt 'A m m 2'
_space_group_IT_number 38
_space_group_name_Hall 'A 2 -2'
loop_
_atom_site_label
_atom_site_type_symbol
_atom_site_fract_x
_atom_site_fract_y
_atom_site_fract_z
_atom_site_occupancy
Mg1 Mg 0.000 0.000 0.000 1
Mg2 Mg 0.500 0.000 0.298 1
P1 P 0.000 0.000 0.728 1
Pt1 Pt 0.500 0.000 0.580 1



7.
# Mg2PPt SCAN single point on PBEsol structure
# **Final energy**: -92.36 eV/f.u.
# **Energy of formation from the pure elements**: -43.80 kJ/mol of atoms
# **Magnetic moment**: 0.000 μB per formula unit
data_Mg2PPt
_chemical_formula_sum 'Mg4 P2 Pt2'
_cell_length_a 7.154
_cell_length_b 2.860
_cell_length_c 6.821
_cell_angle_alpha 90.00
_cell_angle_beta 99.42
_cell_angle_gamma 90.00
_space_group_name_H-M_alt 'C 1 2/m 1'
_space_group_IT_number 12
_space_group_name_Hall '-C 2y'
loop_
_atom_site_label
_atom_site_type_symbol
_atom_site_fract_x
_atom_site_fract_y
_atom_site_fract_z
_atom_site_occupancy
Mg1 Mg 0.248 0.000 0.246 1
P1 P 0.000 0.500 0.000 1
Pt1 Pt 0.000 0.000 0.500 1



8.
# Mg2PPt SCAN single point on PBEsol structure
# **Final energy**: -91.81 eV/f.u.
# **Energy of formation from the pure elements**: -30.70 kJ/mol of atoms
# **Magnetic moment**: 0.000 μB per formula unit
data_Mg2PPt
_chemical_formula_sum 'Mg8 P4 Pt4'
_cell_length_a 6.344
_cell_length_b 6.344
_cell_length_c 6.344
_cell_angle_alpha 90.00
_cell_angle_beta 90.00
_cell_angle_gamma 90.00
_space_group_name_H-M_alt 'F -4 3 m'
_space_group_IT_number 216
_space_group_name_Hall 'F -4 2 3'
loop_
_atom_site_label
_atom_site_type_symbol
_atom_site_fract_x
_atom_site_fract_y
_atom_site_fract_z
_atom_site_occupancy
Mg1 Mg 0.000 0.000 0.000 1
Mg2 Mg 0.250 0.250 0.250 1
P1 P 0.250 0.250 0.750 1
Pt1 Pt 0.000 0.000 0.500 1



9.
# MgP2Pt SCAN single point on PBEsol structure
# **Final energy**: -97.91 eV/f.u.
# **Energy of formation from the pure elements**: -46.99 kJ/mol of atoms
# **Magnetic moment**: 0.000 μB per formula unit
data_MgP2Pt
_chemical_formula_sum 'Mg2 P4 Pt2'
_cell_length_a 6.459
_cell_length_b 3.669
_cell_length_c 6.069
_cell_angle_alpha 90.00
_cell_angle_beta 110.25
_cell_angle_gamma 90.00
_space_group_name_H-M_alt 'C 1 2/m 1'
_space_group_IT_number 12
_space_group_name_Hall '-C 2y'
loop_
_atom_site_label
_atom_site_type_symbol
_atom_site_fract_x
_atom_site_fract_y
_atom_site_fract_z
_atom_site_occupancy
Mg1 Mg 0.000 0.000 0.000 1
P1 P 0.235 0.000 0.703 1
Pt1 Pt 0.000 0.500 0.500 1



10.
# MgP2Pt SCAN single point on PBEsol structure
# **Final energy**: -96.91 eV/f.u.
# **Energy of formation from the pure elements**: -22.91 kJ/mol of atoms
# **Magnetic moment**: 0.000 μB per formula unit
data_MgP2Pt
_chemical_formula_sum 'Mg2 P4 Pt2'
_cell_length_a 3.391
_cell_length_b 3.464
_cell_length_c 11.059
_cell_angle_alpha 90.00
_cell_angle_beta 90.00
_cell_angle_gamma 90.00
_space_group_name_H-M_alt 'I m m 2'
_space_group_IT_number 44
_space_group_name_Hall 'I 2 -2'
loop_
_atom_site_label
_atom_site_type_symbol
_atom_site_fract_x
_atom_site_fract_y
_atom_site_fract_z
_atom_site_occupancy
Mg1 Mg 0.000 0.000 0.000 1
P1 P 0.000 0.000 0.404 1
P2 P 0.000 0.500 0.183 1
Pt1 Pt 0.000 0.500 0.747 1



11.
# Mg2PPt SCAN single point on PBEsol structure
# **Final energy**: -91.99 eV/f.u.
# **Energy of formation from the pure elements**: -35.11 kJ/mol of atoms
# **Magnetic moment**: 0.000 μB per formula unit
data_Mg2PPt
_chemical_formula_sum 'Mg2 P1 Pt1'
_cell_length_a 3.495
_cell_length_b 3.495
_cell_length_c 5.460
_cell_angle_alpha 90.00
_cell_angle_beta 90.00
_cell_angle_gamma 90.00
_space_group_name_H-M_alt 'P 4 m m'
_space_group_IT_number 99
_space_group_name_Hall 'P 4 -2'
loop_
_atom_site_label
_atom_site_type_symbol
_atom_site_fract_x
_atom_site_fract_y
_atom_site_fract_z
_atom_site_occupancy
Mg1 Mg 0.000 0.000 0.000 1
Mg2 Mg 0.500 0.500 0.312 1
P1 P 0.000 0.000 0.529 1
Pt1 Pt 0.500 0.500 0.806 1



12.
# Mg2PPt SCAN single point on PBEsol structure
# **Final energy**: -91.76 eV/f.u.
# **Energy of formation from the pure elements**: -29.48 kJ/mol of atoms
# **Magnetic moment**: 0.000 μB per formula unit
data_Mg2PPt
_chemical_formula_sum 'Mg8 P4 Pt4'
_cell_length_a 7.092
_cell_length_b 7.092
_cell_length_c 5.521
_cell_angle_alpha 90.00
_cell_angle_beta 90.00
_cell_angle_gamma 90.00
_space_group_name_H-M_alt 'I -4 2 d'
_space_group_IT_number 122
_space_group_name_Hall 'I -4 2bw'
loop_
_atom_site_label
_atom_site_type_symbol
_atom_site_fract_x
_atom_site_fract_y
_atom_site_fract_z
_atom_site_occupancy
Mg1 Mg 0.237 0.250 0.125 1
P1 P 0.000 0.000 0.000 1
Pt1 Pt 0.000 0.000 0.500 1